1.
Here is a relaxed SrErSi crystal from the Open Quantum Materials Database. Energies are from PBE-GGA.

a b c (Å): 7.145 7.145 7.145
angles (deg): 90.00 90.00 90.00
Space group F-43m (No. 216)
Inequivalent atoms, fractional coordinates:
Sr 0.000 0.000 0.000 [4 per cell]
Er 0.000 0.000 0.500 [4 per cell]
Si 0.250 0.250 0.750 [4 per cell]

As for the mass density: 5.15 Mg/m³. As for the total energy: -4.144 eV/atom.

2.
Here is a relaxed ErTaSi crystal from the Open Quantum Materials Database. Energies are from PBE-GGA.

a b c (Å): 6.363 6.363 6.363
angles (deg): 90.00 90.00 90.00
Space group F-43m (No. 216)
Inequivalent atoms, fractional coordinates:
Er 0.000 0.000 0.000 [4 per cell]
Ta 0.000 0.000 0.500 [4 per cell]
Si 0.250 0.250 0.250 [4 per cell]

As for the mass density: 9.70 Mg/m³. As for the total energy: -7.258 eV/atom.

3.
Here is a relaxed ErTaSi crystal from the Open Quantum Materials Database. Energies are from PBE-GGA.

a b c (Å): 6.713 6.713 6.713
angles (deg): 90.00 90.00 90.00
Space group F-43m (No. 216)
Inequivalent atoms, fractional coordinates:
Er 0.000 0.000 0.000 [4 per cell]
Ta 0.250 0.250 0.250 [4 per cell]
Si 0.250 0.250 0.750 [4 per cell]

As for the mass density: 8.26 Mg/m³. As for the total energy: -6.125 eV/atom.

4.
Here is a relaxed TbErSi2 crystal from the Open Quantum Materials Database. Energies are from PBE-GGA.

a b c (Å): 3.826 5.687 7.884
angles (deg): 90.00 90.00 90.00
Space group Pmc2_1 (No. 26)
Inequivalent atoms, fractional coordinates:
Tb 0.000 0.135 0.000 [2 per cell]
Er 0.500 0.365 0.642 [2 per cell]
Si 0.000 0.379 0.359 [2 per cell]
Si 0.500 0.121 0.283 [2 per cell]

As for the mass density: 7.40 Mg/m³. As for the total energy: -5.838 eV/atom.

Record order is preserved below.
M_tot: 0.0; 2.2; 12.1; 0.0 μB per cell